An optimized crystal structure of KLiW3O9, computed with GGA+U.

VASP energy: -7.009 eV/atom
V: 13.8 Å³/atom

a b c (Å): 7.5503 7.5363 7.7720
angles (deg): 89.40 90.29 118.91
Fractional coordinates of all 28 atoms:
O (0.4560, 0.0152, 0.2594)
O (0.7851, 0.2230, 0.0435)
O (0.5767, 0.7978, 0.0371)
O (0.1971, 0.4179, 0.0386)
O (0.7932, 0.5814, 0.9646)
O (0.4159, 0.2194, 0.5358)
O (0.4625, 0.5340, 0.7592)
O (0.5290, 0.4664, 0.2444)
O (0.5766, 0.7815, 0.4681)
O (0.2005, 0.4224, 0.4677)
O (0.2056, 0.7766, 0.9590)
O (0.7894, 0.2226, 0.4634)
O (0.7920, 0.5789, 0.5353)
O (0.4142, 0.2022, 0.9671)
O (0.9858, 0.5455, 0.2502)
O (0.2025, 0.7781, 0.5392)
O (0.5353, 0.9848, 0.7440)
O (0.0054, 0.4547, 0.7516)
W (0.9961, 0.5010, 0.4984)
W (0.4951, 0.5000, 0.0019)
W (0.4960, 0.5003, 0.5019)
W (0.9951, 0.4991, 0.9985)
W (0.4950, 0.9997, 0.0016)
W (0.4962, 0.0005, 0.5016)
K (0.0020, 0.9533, 0.7496)
K (0.9856, 0.0437, 0.2507)
Li (0.6827, 0.3158, 0.2513)
Li (0.3084, 0.6842, 0.7499)